No. 1
The following is a PBE calculation of crystalline EuAu2 at its relaxed geometry, from Alexandria via LeMat-Bulk.

The value obtained for the raw total energy is -6.192 eV/atom.

The space group is Fd-3m (No. 227, origin choice 2) and the conventional cell measures 8.1756, 8.1756 and 8.1756 Å, with angles of 90.00, 90.00 and 90.00 degrees. The asymmetric unit holds Eu at (0.1250, 0.1250, 0.1250) and Au at (0.0000, 0.0000, 0.5000).



No. 2
The following is a PBE calculation of crystalline RbZnPt at its relaxed geometry, from Alexandria via LeMat-Bulk.

As for the energy relative to the lowest polymorph listed for this composition: 116 meV/atom.

The space group is P-6m2 (No. 187) and the conventional cell measures 4.3226, 4.3226 and 5.3082 Å, with angles of 90.00, 90.00 and 120.00 degrees. The asymmetric unit holds Rb at (0.0000, 0.0000, 0.0000), Zn at (0.6667, 0.3333, 0.5000) and Pt at (0.3333, 0.6667, 0.5000).



No. 3
The following is a PBE calculation of crystalline BeGaHg3 at its relaxed geometry, from Alexandria via LeMat-Bulk.

As for the energy relative to the lowest polymorph listed for this composition: 0 meV/atom.

The space group is Pm-3m (No. 221) and the conventional cell measures 4.8517, 4.8517 and 4.8517 Å, with angles of 90.00, 90.00 and 90.00 degrees. The asymmetric unit holds Be at (0.0000, 0.0000, 0.0000), Ga at (0.5000, 0.5000, 0.5000) and Hg at (0.0000, 0.0000, 0.5000).



No. 4
The following is a PBE calculation of crystalline BeCo2As at its relaxed geometry, from Alexandria via LeMat-Bulk.

As for the energy relative to the lowest polymorph listed for this composition: 0 meV/atom.

The space group is Fm-3m (No. 225) and the conventional cell measures 5.5272, 5.5272 and 5.5272 Å, with angles of 90.00, 90.00 and 90.00 degrees. The asymmetric unit holds Be at (0.0000, 0.0000, 0.0000), Co at (0.2500, 0.2500, 0.2500) and As at (0.0000, 0.0000, 0.5000).



Question: Number 2 is which compound?
Answer: RbZnPt